A plane-wave DFT calculation with PBE-GGA was carried out for crystalline Zr2BeRe at its relaxed geometry.

abc: 8.1804 8.1804 8.1804
angles: 22.73 22.73 22.73
Closest atoms and distances in Å follow each position.
Sites, in units of the cell vectors:
Re  0.7500  0.7500  0.7500  6 Zr 2.79
Zr  0.9965  0.9965  0.9965  3 Be 2.66, 3 Re 2.79
Zr  0.5035  0.5035  0.5035  3 Be 2.66, 3 Re 2.79
Be  0.2500  0.2500  0.2500  6 Zr 2.66

Calculated values
space-group type	R-3m
crystal system	trigonal

---

A plane-wave DFT calculation with PBE-GGA was carried out for crystalline ZrBeRe4 at its relaxed geometry.

abc: 5.2114 5.2114 5.2114
angles: 60.00 60.00 60.00
Closest atoms and distances in Å follow each position.
Sites, in units of the cell vectors:
Zr  0.7500  0.7500  0.7500  12 Re 3.06, 4 Be 3.19
Be  0.0000  0.0000  0.0000  12 Re 3.05, 4 Zr 3.19
Re  0.8771  0.3743  0.3743  6 Re 2.59-2.62
Re  0.3743  0.3743  0.8771  6 Re 2.59-2.62
Re  0.3743  0.8771  0.3743  6 Re 2.59-2.62
Re  0.3743  0.3743  0.3743  6 Re 2.59-2.62

Calculated values
space-group type	F-43m
crystal system	cubic

---

A plane-wave DFT calculation with PBE-GGA was carried out for crystalline ZrBeRe2 at its relaxed geometry.

abc: 4.4314 4.4314 4.4447
angles: 120.27 120.27 89.69
Closest atoms and distances in Å follow each position.
Sites, in units of the cell vectors:
Re  0.9999  0.0001  0.0000  4 Re 2.70-2.72, 4 Be 2.70-2.72
Re  0.2517  0.7483  0.5000  4 Re 2.70-2.72, 4 Zr 2.71
Zr  0.4999  0.5001  0.0000  4 Re 2.71, 4 Be 2.71
Be  0.7485  0.2515  0.5000  4 Re 2.70-2.72, 4 Zr 2.71

Calculated values
space-group type	C2
crystal system	monoclinic

---

Number 1: formation energy 0.178 eV/atom, uncorrected energy -0.299 Ha/atom. Number 2: formation energy 0.154 eV/atom, uncorrected energy -0.374 Ha/atom. Number 3: formation energy 0.091 eV/atom, uncorrected energy -0.338 Ha/atom.